# 1
Material: Zn2TcAu
Method: DFT, PBE
State: relaxed

## Properties
- Relative energy among the computed polymorphs: 136.4 meV per atom
- Final energy: -15.64 eV per cell
- D(E_F): 2.62 states/eV/f.u.

Unit cell a=2.7308 b=2.7308 c=8.2318 alpha=90.00 beta=90.00 gamma=90.04
Site moments in Bohr magnetons follow the coordinates.
Fractional positions:
Au  0.0000  0.0000  0.4969  0.00
Tc  0.5000  0.5000  0.7619  0.25
Zn  0.0000  0.0000  0.9998  0.00
Zn  0.5000  0.5000  0.2415  0.00

***

# 2
Material: Ca2AsW
Method: DFT, PBE
State: relaxed

## Properties
- Final energy: -20.10 eV per cell
- D(E_F): 2.79 states/eV/f.u.

Unit cell a=3.8679 b=3.8679 c=6.0795 alpha=90.00 beta=90.00 gamma=90.00
Site moments in Bohr magnetons follow the coordinates.
Fractional positions:
As  0.5000  0.5000  0.7500  -0.03
Ca  0.0000  0.0000  0.9888  0.07
Ca  0.0000  0.0000  0.5112  0.07
W  0.5000  0.5000  0.2500  1.76

***

Number 1: total moment 0.26 μB/f.u., DFT formation energy 0.14 eV per atom. Number 2: total moment 2.66 μB/f.u., DFT formation energy 0.38 eV per atom.